# CsPu2NiO8 (GGA+U, optimized geometry)
data_CsPu2NiO8
_symmetry_space_group_name_H-M 'P -3 m 1'
_symmetry_Int_Tables_number 164
_symmetry_space_group_name_Hall '-P 3 2"'
_cell_length_a 6.2775
_cell_length_b 6.2775
_cell_length_c 7.7801
_cell_angle_alpha 90.00
_cell_angle_beta 90.00
_cell_angle_gamma 120.00
loop_
_atom_site_label
_atom_site_fract_x
_atom_site_fract_y
_atom_site_fract_z
Cs1 0.0000 0.0000 0.0000
Pu1 0.3333 0.6667 0.3430
Ni1 0.0000 0.0000 0.5000
O1 0.1535 0.3070 0.3517
O2 0.3333 0.6667 0.1010
# **Volume**: 22.1 A^3/atom
# **Density of states at the Fermi level**: 12.0 states/eV per cell
# **Total DFT energy (no corrections)**: -7.6317 eV per atom
# **Density**: 5.05 g cm⁻³